[1]
# PBE Cd2FeS, optimized geometry
data_Cd2FeS
_cell_length_a 9.2117
_cell_length_b 9.2117
_cell_length_c 6.8562
_cell_angle_alpha 47.80
_cell_angle_beta 47.80
_cell_angle_gamma 90.00
_symmetry_space_group_name_H-M 'P 1'
_symmetry_Int_Tables_number 1
loop_
_symmetry_equiv_pos_as_xyz
'x,y,z'
loop_
_atom_site_label
_atom_site_fract_x
_atom_site_fract_y
_atom_site_fract_z
S1 0.5000 0.5000 0.0000
S2 0.2500 0.7500 0.5000
Cd1 0.5254 0.1250 0.2500
Cd2 0.2246 0.6250 0.2500
Cd3 0.8750 0.7754 0.7500
Cd4 0.3750 0.4746 0.7500
Fe1 0.7500 0.2500 0.5000
Fe2 0.0000 0.0000 0.0000
# - Volume: 90.8 Å³/f.u.

=====

[2]
# PBE CdFe3S, optimized geometry
data_CdFe3S
_cell_length_a 4.1869
_cell_length_b 4.1869
_cell_length_c 4.1869
_cell_angle_alpha 90.00
_cell_angle_beta 90.00
_cell_angle_gamma 90.00
_symmetry_space_group_name_H-M 'P 1'
_symmetry_Int_Tables_number 1
loop_
_symmetry_equiv_pos_as_xyz
'x,y,z'
loop_
_atom_site_label
_atom_site_fract_x
_atom_site_fract_y
_atom_site_fract_z
Fe1 0.0000 0.0000 0.5000
Fe2 0.5000 0.0000 0.0000
Fe3 0.0000 0.5000 0.0000
Cd1 0.5000 0.5000 0.5000
S1 0.0000 0.0000 0.0000
# - Energy above the lowest structure with this stoichiometry: 0.0000 eV per atom
# - Volume: 73.4 Å³/f.u.

=====

[3]
# PBE Cd3FeS4, optimized geometry
data_Cd3FeS4
_cell_length_a 4.0845
_cell_length_b 4.0845
_cell_length_c 11.6107
_cell_angle_alpha 90.00
_cell_angle_beta 90.00
_cell_angle_gamma 90.00
_symmetry_space_group_name_H-M 'P 1'
_symmetry_Int_Tables_number 1
loop_
_symmetry_equiv_pos_as_xyz
'x,y,z'
loop_
_atom_site_label
_atom_site_fract_x
_atom_site_fract_y
_atom_site_fract_z
S1 0.5000 0.0000 0.6321
S2 0.0000 0.5000 0.3679
S3 0.5000 0.0000 0.1017
S4 0.0000 0.5000 0.8983
Cd1 0.0000 0.0000 0.7643
Cd2 0.0000 0.0000 0.2357
Cd3 0.5000 0.5000 0.5000
Fe1 0.5000 0.5000 0.0000
# - Volume: 193.7 Å³/f.u.

=====

[4]
# PBE CdFe3S, optimized geometry
data_CdFe3S
_cell_length_a 4.7935
_cell_length_b 4.7935
_cell_length_c 4.7935
_cell_angle_alpha 90.00
_cell_angle_beta 90.00
_cell_angle_gamma 90.00
_symmetry_space_group_name_H-M 'P 1'
_symmetry_Int_Tables_number 1
loop_
_symmetry_equiv_pos_as_xyz
'x,y,z'
loop_
_atom_site_label
_atom_site_fract_x
_atom_site_fract_y
_atom_site_fract_z
Fe1 0.0000 0.0000 0.5000
Fe2 0.0000 0.5000 0.0000
Fe3 0.5000 0.0000 0.0000
S1 0.5000 0.5000 0.5000
Cd1 0.0000 0.0000 0.0000
# - Energy above the lowest structure with this stoichiometry: 1.5635 eV per atom
# - Volume: 110.1 Å³/f.u.

=====

[5]
# PBE CdFe3Sn2S8, optimized geometry
data_CdFe3Sn2S8
_cell_length_a 7.2675
_cell_length_b 7.2675
_cell_length_c 7.2675
_cell_angle_alpha 121.02
_cell_angle_beta 119.03
_cell_angle_gamma 89.97
_symmetry_space_group_name_H-M 'P 1'
_symmetry_Int_Tables_number 1
loop_
_symmetry_equiv_pos_as_xyz
'x,y,z'
loop_
_atom_site_label
_atom_site_fract_x
_atom_site_fract_y
_atom_site_fract_z
Cd1 0.7665 0.2665 0.5000
S1 0.5908 0.8758 0.7149
S2 0.1463 0.3861 0.2398
S3 0.5931 0.8410 0.2478
S4 0.1463 0.9065 0.7602
S5 0.5746 0.3784 0.1962
S6 0.1609 0.8758 0.2851
S7 0.5931 0.3453 0.7522
S8 0.1822 0.3784 0.8038
Fe1 0.9961 0.9961 0.0000
Fe2 0.3731 0.6212 0.2480
Fe3 0.3731 0.1251 0.7520
Sn1 0.3775 0.6269 0.7506
Sn2 0.8764 0.6269 0.2494
# - Volume: 271.2 Å³/f.u.

=====

[6]
# PBE Sr2CdFeS, optimized geometry
data_Sr2CdFeS
_cell_length_a 5.5590
_cell_length_b 4.8204
_cell_length_c 5.5590
_cell_angle_alpha 90.00
_cell_angle_beta 90.00
_cell_angle_gamma 90.00
_symmetry_space_group_name_H-M 'P 1'
_symmetry_Int_Tables_number 1
loop_
_symmetry_equiv_pos_as_xyz
'x,y,z'
loop_
_atom_site_label
_atom_site_fract_x
_atom_site_fract_y
_atom_site_fract_z
S1 0.5000 0.5000 0.5000
Sr1 0.5000 0.0000 0.0000
Sr2 0.0000 0.0000 0.5000
Cd1 0.0000 0.5000 0.0000
Fe1 0.0000 0.0000 0.0000
# - Volume: 149.0 Å³/f.u.

=====

[7]
# PBE Zn2CdFeS, optimized geometry
data_Zn2CdFeS
_cell_length_a 4.6542
_cell_length_b 5.1318
_cell_length_c 4.6542
_cell_angle_alpha 90.00
_cell_angle_beta 90.00
_cell_angle_gamma 90.00
_symmetry_space_group_name_H-M 'P 1'
_symmetry_Int_Tables_number 1
loop_
_symmetry_equiv_pos_as_xyz
'x,y,z'
loop_
_atom_site_label
_atom_site_fract_x
_atom_site_fract_y
_atom_site_fract_z
Zn1 0.0000 0.0000 0.5000
Zn2 0.5000 0.0000 0.0000
Cd1 0.0000 0.5000 0.0000
S1 0.5000 0.5000 0.5000
Fe1 0.0000 0.0000 0.0000
# - Volume: 111.2 Å³/f.u.

=====

[8]
# PBE ZnCdFe2S, optimized geometry
data_ZnCdFe2S
_cell_length_a 4.9230
_cell_length_b 4.8008
_cell_length_c 4.9230
_cell_angle_alpha 90.00
_cell_angle_beta 90.00
_cell_angle_gamma 90.00
_symmetry_space_group_name_H-M 'P 1'
_symmetry_Int_Tables_number 1
loop_
_symmetry_equiv_pos_as_xyz
'x,y,z'
loop_
_atom_site_label
_atom_site_fract_x
_atom_site_fract_y
_atom_site_fract_z
Zn1 0.0000 0.5000 0.0000
Cd1 0.0000 0.0000 0.0000
Fe1 0.0000 0.0000 0.5000
Fe2 0.5000 0.0000 0.0000
S1 0.5000 0.5000 0.5000
# - Volume: 116.4 Å³/f.u.

=====

[9]
# PBE Cd3FeSb, optimized geometry
data_Cd3FeSb
_cell_length_a 5.0466
_cell_length_b 5.0466
_cell_length_c 5.0466
_cell_angle_alpha 90.00
_cell_angle_beta 90.00
_cell_angle_gamma 90.00
_symmetry_space_group_name_H-M 'P 1'
_symmetry_Int_Tables_number 1
loop_
_symmetry_equiv_pos_as_xyz
'x,y,z'
loop_
_atom_site_label
_atom_site_fract_x
_atom_site_fract_y
_atom_site_fract_z
Cd1 0.0000 0.5000 0.0000
Cd2 0.0000 0.0000 0.5000
Cd3 0.5000 0.0000 0.0000
Sb1 0.5000 0.5000 0.5000
Fe1 0.0000 0.0000 0.0000
# - Energy above the lowest structure with this stoichiometry: 0.0000 eV per atom
# - Volume: 128.5 Å³/f.u.

=====

[10]
# PBE CdFeSb2, optimized geometry
data_CdFeSb2
_cell_length_a 3.5575
_cell_length_b 3.5575
_cell_length_c 8.3483
_cell_angle_alpha 76.88
_cell_angle_beta 76.88
_cell_angle_gamma 61.69
_symmetry_space_group_name_H-M 'P 1'
_symmetry_Int_Tables_number 1
loop_
_symmetry_equiv_pos_as_xyz
'x,y,z'
loop_
_atom_site_label
_atom_site_fract_x
_atom_site_fract_y
_atom_site_fract_z
Fe1 0.2500 0.2500 0.2500
Cd1 0.7500 0.7500 0.7500
Sb1 0.9859 0.9859 0.0484
Sb2 0.5141 0.5141 0.4516
# - Volume: 89.7 Å³/f.u.

=====

[11]
# PBE CdFe2Sb, optimized geometry
data_CdFe2Sb
_cell_length_a 3.3111
_cell_length_b 3.3124
_cell_length_c 6.0786
_cell_angle_alpha 90.01
_cell_angle_beta 90.00
_cell_angle_gamma 90.00
_symmetry_space_group_name_H-M 'P 1'
_symmetry_Int_Tables_number 1
loop_
_symmetry_equiv_pos_as_xyz
'x,y,z'
loop_
_atom_site_label
_atom_site_fract_x
_atom_site_fract_y
_atom_site_fract_z
Cd1 0.5000 0.5000 0.7500
Fe1 0.0000 0.0001 0.0353
Fe2 0.0000 0.9999 0.4647
Sb1 0.5000 0.5000 0.2500
# - Energy above the lowest structure with this stoichiometry: 0.1621 eV per atom
# - Volume: 66.7 Å³/f.u.

=====

[12]
# PBE CdFe2Sb, optimized geometry
data_CdFe2Sb
_cell_length_a 5.1279
_cell_length_b 5.1279
_cell_length_c 5.1279
_cell_angle_alpha 134.50
_cell_angle_beta 134.50
_cell_angle_gamma 66.31
_symmetry_space_group_name_H-M 'P 1'
_symmetry_Int_Tables_number 1
loop_
_symmetry_equiv_pos_as_xyz
'x,y,z'
loop_
_atom_site_label
_atom_site_fract_x
_atom_site_fract_y
_atom_site_fract_z
Sb1 0.5000 0.5000 0.0000
Fe1 0.0000 0.0000 0.0000
Fe2 0.2500 0.7500 0.5000
Cd1 0.7500 0.2500 0.5000
# - Energy above the lowest structure with this stoichiometry: 0.1837 eV per atom
# - Volume: 67.5 Å³/f.u.

=====

[13]
# PBE CdFe2Sb, optimized geometry
data_CdFe2Sb
_cell_length_a 3.0918
_cell_length_b 3.0918
_cell_length_c 7.7807
_cell_angle_alpha 90.00
_cell_angle_beta 90.00
_cell_angle_gamma 90.00
_symmetry_space_group_name_H-M 'P 1'
_symmetry_Int_Tables_number 1
loop_
_symmetry_equiv_pos_as_xyz
'x,y,z'
loop_
_atom_site_label
_atom_site_fract_x
_atom_site_fract_y
_atom_site_fract_z
Fe1 0.5000 0.5000 0.2019
Fe2 0.0000 0.0000 0.0536
Cd1 0.5000 0.5000 0.8227
Sb1 0.0000 0.0000 0.4217
# - Energy above the lowest structure with this stoichiometry: 0.0000 eV per atom
# - Volume: 74.4 Å³/f.u.

=====

no.,E_form (uncorrected) (eV per atom)
1,0.26
2,0.14
3,-0.49
4,1.70
5,-0.35
6,0.02
7,0.69
8,1.37
9,0.58
10,0.14
11,0.37
12,0.39
13,0.21